# 1
## CaCuIr (GGA-PBE)

Data for CaCuIr after structural relaxation.

Unit cell a=4.162 b=4.162 c=4.021 alpha=90.00 beta=90.00 gamma=120.00
Fractional coordinates of all 3 atoms:
Ca 0.000 0.000 0.000
Cu 0.667 0.333 0.500
Ir 0.333 0.667 0.500

Results
The value obtained for the total energy is -15.075 eV/cell. As for the distance to the lowest polymorph of the same formula: 0.299 eV/atom. As for the crystal system: hexagonal. Its total magnetic moment is 0.000 μB/atom. Its formation energy is -0.04 eV/atom. The density of states at the Fermi level is 0.80 states/eV per atom.



# 2
## Ca2CuIr (GGA-PBE)

Data for Ca2CuIr after structural relaxation.

Unit cell a=8.905 b=8.905 c=8.905 alpha=22.49 beta=22.49 gamma=22.49
Fractional coordinates of all 4 atoms:
Ca 0.245 0.245 0.245
Ca 0.755 0.755 0.755
Cu 0.000 0.000 0.000
Ir 0.500 0.500 0.500

Results
The value obtained for the total energy is -16.223 eV/cell. As for the crystal system: trigonal. Its total magnetic moment is 0.000 μB/atom. Its formation energy is 0.18 eV/atom. The density of states at the Fermi level is 0.45 states/eV per atom.



# 3
## CaCuIr (GGA-PBE)

Data for CaCuIr after structural relaxation.

Unit cell a=3.013 b=3.013 c=6.734 alpha=90.00 beta=90.00 gamma=120.00
Fractional coordinates of all 3 atoms:
Ca 0.000 0.000 0.000
Cu 0.667 0.333 0.370
Ir 0.333 0.667 0.667

Results
The value obtained for the total energy is -13.809 eV/cell. As for the distance to the lowest polymorph of the same formula: 0.721 eV/atom. As for the crystal system: trigonal. Its total magnetic moment is 0.000 μB/atom. Its formation energy is 0.38 eV/atom. The density of states at the Fermi level is 0.78 states/eV per atom.